4
Lattice="-5.863 1.068 1.267 -3.699 -4.768 -0.841 5.282 0.912 2.896" Properties=species:S:1:pos:R:3 comment="Ca2ZrIn | the Alexandria database | GGA-PBE | optimized geometry" magnetic_moment_mub_per_fu=1.09 ef_mev_per_atom=59 crystal_system=tetragonal pbc="T T T"
In -1.599 -2.853 1.134
Zr -2.681 0.065 2.188
Ca -4.781 -1.850 0.213
Ca 0.000 0.000 0.000

8
Lattice="-6.701 -5.543 0.164 5.240 -6.414 -2.658 -0.065 -6.693 1.789" Properties=species:S:1:pos:R:3 comment="Ca2ZrIn | the Alexandria database | GGA-PBE | optimized geometry" magnetic_moment_mub_per_fu=1.01 ef_mev_per_atom=356 crystal_system=tetragonal pbc="T T T"
Zr -0.731 -5.978 -1.247
Zr 2.222 -9.542 -1.058
Ca -3.679 -6.046 0.221
Ca -1.226 -15.606 -0.891
Ca 2.551 -6.267 -1.196
Ca -0.698 -9.379 0.458
In 0.000 0.000 0.000
In -3.748 -9.107 0.353

10
Lattice="0.000 4.607 8.206 2.787 0.000 8.206 2.787 4.607 0.000" Properties=species:S:1:pos:R:3 comment="Ca2Ir3 | the Alexandria database | GGA-PBE | optimized geometry" magnetic_moment_mub_per_fu=0.00 ef_mev_per_atom=-350 crystal_system=orthorhombic pbc="T T T"
Ir 3.280 7.689 10.251
Ir 3.280 6.134 14.367
Ir 1.887 5.385 10.264
Ir 1.887 3.830 6.148
Ir 0.635 4.607 8.206
Ir 2.028 2.304 4.103
Ca 3.369 3.061 8.933
Ca 3.369 6.154 7.479
Ca 4.762 8.457 13.036
Ca 4.762 5.365 11.582

4
Lattice="-1.677 -1.164 3.372 0.919 -2.656 -2.764 9.084 -1.147 4.121" Properties=species:S:1:pos:R:3 comment="Ca3Ir | the Alexandria database | GGA-PBE | optimized geometry" magnetic_moment_mub_per_fu=0.00 ef_mev_per_atom=48 crystal_system=hexagonal pbc="T T T"
Ca 8.329 -1.052 3.779
Ca 5.297 -0.669 2.403
Ca 1.459 -1.948 2.357
Ir 6.001 -2.522 4.417

4
Lattice="7.685 -0.025 0.001 5.234 5.627 -0.001 -6.011 -3.836 2.866" Properties=species:S:1:pos:R:3 comment="Ca3Ir | the Alexandria database | GGA-PBE | optimized geometry" magnetic_moment_mub_per_fu=0.00 ef_mev_per_atom=-163 crystal_system=orthorhombic pbc="T T T"
Ca 4.067 -0.530 1.433
Ca 1.121 0.486 0.000
Ca 5.338 2.315 0.000
Ir 2.841 2.296 1.433

4
Lattice="4.934 -0.015 0.000 -1.651 4.650 0.000 0.000 0.000 2.804" Properties=species:S:1:pos:R:3 comment="CaIr3 | the Alexandria database | GGA-PBE | optimized geometry" magnetic_moment_mub_per_fu=0.00 ef_mev_per_atom=-1 crystal_system=orthorhombic pbc="T T T"
Ca 0.000 0.000 0.000
Ir 2.467 -0.007 1.402
Ir 1.642 2.318 0.000
Ir -0.826 2.325 1.402

16
Lattice="-1.311 -4.905 -3.851 0.750 -4.924 6.017 -9.044 0.932 1.890" Properties=species:S:1:pos:R:3 comment="Ca3Ir | the Alexandria database | GGA-PBE | optimized geometry" magnetic_moment_mub_per_fu=0.00 ef_mev_per_atom=-325 crystal_system=orthorhombic pbc="T T T"
Ca -2.746 -5.140 0.800
Ca -0.419 -5.737 3.799
Ca -3.885 -1.987 2.231
Ca -6.858 -3.758 3.256
Ca -2.677 -8.745 2.912
Ca -5.843 -3.505 -0.442
Ca -0.542 -2.331 1.532
Ca -9.186 -3.160 0.257
Ca -5.720 -6.911 1.826
Ca -9.063 -6.566 2.524
Ca -3.762 -5.393 4.498
Ca -6.928 -0.153 1.144
Ir -7.751 -5.816 -0.001
Ir -2.760 -2.608 -0.513
Ir -1.854 -3.081 4.057
Ir -6.845 -6.289 4.569

6
Lattice="2.269 -7.530 0.000 2.269 7.530 0.000 0.000 0.000 5.506" Properties=species:S:1:pos:R:3 comment="Ca5Ir | the Alexandria database | GGA-PBE | optimized geometry" relative_energy_mev_per_atom=247 magnetic_moment_mub_per_fu=0.00 ef_mev_per_atom=15 crystal_system=orthorhombic pbc="T T T"
Ca 2.269 -4.032 2.753
Ca 2.269 -2.092 0.000
Ca 2.269 3.056 0.000
Ca 2.269 -7.240 0.000
Ca 2.269 -0.151 2.753
Ir 2.269 5.438 2.753

4
Lattice="3.515 0.004 0.000 -0.003 3.515 0.000 0.000 0.000 9.736" Properties=species:S:1:pos:R:3 comment="Ca3Ir | the Alexandria database | GGA-PBE | optimized geometry" magnetic_moment_mub_per_fu=0.00 ef_mev_per_atom=-137 crystal_system=tetragonal pbc="T T T"
Ca 0.000 0.000 0.809
Ca 1.756 1.759 7.302
Ca 0.000 0.000 4.059
Ir 1.756 1.759 2.434

6
Lattice="0.000 4.587 4.587 4.587 0.000 4.587 4.587 4.587 0.000" Properties=species:S:1:pos:R:3 comment="Ca5Ir | the Alexandria database | GGA-PBE | optimized geometry" relative_energy_mev_per_atom=863 magnetic_moment_mub_per_fu=0.00 ef_mev_per_atom=630 crystal_system=cubic pbc="T T T"
Ca 2.294 2.294 2.294
Ca 3.426 5.749 3.426
Ca 5.749 5.749 5.749
Ca 5.749 3.426 3.426
Ca 3.426 3.426 5.749
Ir 0.000 0.000 0.000

32
Lattice="6.147 0.000 0.000 0.000 12.098 0.000 0.000 0.000 12.098" Properties=species:S:1:pos:R:3 comment="Ca3Ir | the Alexandria database | GGA-PBE | optimized geometry" magnetic_moment_mub_per_fu=0.00 ef_mev_per_atom=-272 crystal_system=tetragonal pbc="T T T"
Ca 1.437 4.482 5.518
Ca 0.237 5.048 1.483
Ca 3.296 8.054 9.400
Ca 5.910 10.615 5.048
Ca 1.636 10.531 11.567
Ca 5.910 1.483 7.050
Ca 3.296 4.045 2.698
Ca 0.223 3.351 10.094
Ca 2.837 11.098 7.533
Ca 0.237 7.050 10.615
Ca 3.310 7.533 1.001
Ca 1.437 7.617 6.580
Ca 4.709 5.518 7.617
Ca 2.850 9.400 4.045
Ca 5.924 10.094 8.747
Ca 5.924 2.004 3.351
Ca 2.850 2.698 8.054
Ca 0.223 8.747 2.004
Ca 3.310 4.566 11.098
Ca 2.837 1.001 4.566
Ca 1.636 1.567 0.531
Ca 4.511 11.567 1.567
Ca 4.511 0.531 10.531
Ca 4.709 6.580 4.482
Ir 1.791 5.438 8.667
Ir 4.864 9.480 11.487
Ir 1.791 6.661 3.431
Ir 4.356 8.667 6.661
Ir 4.356 3.431 5.438
Ir 1.283 0.611 9.480
Ir 1.283 11.487 2.618
Ir 4.864 2.618 0.611

6
Lattice="1.837 6.551 0.020 -1.837 6.551 0.020 0.000 3.868 8.518" Properties=species:S:1:pos:R:3 comment="Ca5Ir | the Alexandria database | GGA-PBE | optimized geometry" relative_energy_mev_per_atom=113 magnetic_moment_mub_per_fu=0.00 ef_mev_per_atom=-120 crystal_system=monoclinic pbc="T T T"
Ca 0.000 1.934 4.259
Ca 0.000 8.412 7.529
Ca 0.000 8.558 1.028
Ca 0.000 11.502 6.289
Ca 0.000 5.469 2.269
Ir 0.000 0.000 0.000

Which formula does entry 7 have?
Ca3Ir